# 1
First-principles (GGA-PBE) data for a geometry-optimized In4Au5 structure, as listed in Alexandria.

```
In4Au5
1.0
8.7090 0.0000 0.0000
-4.3545 7.5422 0.0000
0.0000 0.0000 5.7536
In Au
8 10
Direct
0.0000 0.0000 0.0000
0.0000 0.0000 0.5000
0.0000 0.3701 0.2500
0.0000 0.6299 0.7500
0.3701 0.0000 0.2500
0.3701 0.3701 0.7500
0.6299 0.0000 0.7500
0.6299 0.6299 0.2500
0.0000 0.3003 0.7500
0.0000 0.6997 0.2500
0.3003 0.0000 0.7500
0.3003 0.3003 0.2500
0.3333 0.6667 0.0000
0.3333 0.6667 0.5000
0.6667 0.3333 0.0000
0.6667 0.3333 0.5000
0.6997 0.0000 0.2500
0.6997 0.6997 0.7500
```

Values from the calculation:
Energy ... -3.13 eV/atom
ΔE to the lowest computed polymorph ... 6.2 meV per atom
Space group ... No. 193
Formation energy ... -2.1 kcal/mol of atoms

=====

# 2
First-principles (GGA-PBE) data for a geometry-optimized In3Au structure, as listed in Alexandria.

```
In3Au
1.0
4.5660 2.6362 1.4132
-4.5660 2.6362 1.4132
0.0000 -5.2724 1.4132
In Au
3 1
Direct
0.0000 0.5000 0.5000
0.5000 0.0000 0.5000
0.5000 0.5000 0.0000
0.0000 0.0000 0.0000
```

Values from the calculation:
Energy ... -2.88 eV/atom
Space group ... No. 166
Formation energy ... -0.1 kcal/mol of atoms

=====

# 3
First-principles (GGA-PBE) data for a geometry-optimized In3Au structure, as listed in Alexandria.

```
In3Au
1.0
11.7628 0.0000 0.0000
0.0000 11.7628 0.0000
0.0000 0.0000 5.6487
In Au
24 8
Direct
0.0245 0.5749 0.2390
0.0749 0.9755 0.7390
0.1112 0.2232 0.4818
0.1437 0.6714 0.7489
0.1714 0.8563 0.2489
0.2232 0.3888 0.0182
0.2768 0.1112 0.0182
0.3286 0.6437 0.2489
0.3563 0.8286 0.7489
0.3888 0.2768 0.4818
0.4251 0.5245 0.7390
0.4755 0.9251 0.2390
0.5245 0.0749 0.7610
0.5749 0.4755 0.2610
0.6112 0.7232 0.5182
0.6437 0.1714 0.2511
0.6714 0.3563 0.7511
0.7232 0.8888 0.9818
0.7768 0.6112 0.9818
0.8286 0.1437 0.7511
0.8563 0.3286 0.2511
0.8888 0.7768 0.5182
0.9251 0.0245 0.2610
0.9755 0.4251 0.7610
0.0422 0.2025 0.9903
0.2025 0.4578 0.5097
0.2975 0.0422 0.5097
0.4578 0.2975 0.9903
0.5422 0.7025 0.0097
0.7025 0.9578 0.4903
0.7975 0.5422 0.4903
0.9578 0.7975 0.0097
```

Values from the calculation:
Energy ... -2.99 eV/atom
Space group ... No. 86
Formation energy ... -2.7 kcal/mol of atoms

=====

# 4
First-principles (GGA-PBE) data for a geometry-optimized InAu3 structure, as listed in Alexandria.

```
InAu3
1.0
4.8244 0.0000 0.0000
0.0000 5.8445 0.0000
0.0000 0.0000 5.3878
In Au
2 6
Direct
0.2500 0.2500 0.1647
0.7500 0.7500 0.8353
0.2500 0.5017 0.6656
0.2500 0.7500 0.1665
0.2500 0.9983 0.6656
0.7500 0.0017 0.3344
0.7500 0.2500 0.8335
0.7500 0.4983 0.3344
```

Values from the calculation:
Energy ... -3.26 eV/atom
Space group ... No. 59
Formation energy ... -2.8 kcal/mol of atoms

=====

# 5
First-principles (GGA-PBE) data for a geometry-optimized InAu2 structure, as listed in Alexandria.

```
InAu2
1.0
2.1202 -5.1369 0.0000
2.1202 5.1369 0.0000
0.0000 0.0000 5.6838
In Au
2 4
Direct
0.1797 0.8203 0.7500
0.8203 0.1797 0.2500
0.1334 0.8666 0.2500
0.5000 0.5000 0.0000
0.5000 0.5000 0.5000
0.8666 0.1334 0.7500
```

Values from the calculation:
Energy ... -3.23 eV/atom
Space group ... No. 63
Formation energy ... -3.1 kcal/mol of atoms

=====

# 6
First-principles (GGA-PBE) data for a geometry-optimized InAu2 structure, as listed in Alexandria.

```
InAu2
1.0
7.1964 0.0000 0.0000
-3.5982 6.2323 0.0000
0.0000 0.0000 4.1748
In Au
3 6
Direct
0.0000 0.0000 0.0000
0.3333 0.6667 0.5000
0.6667 0.3333 0.5000
0.0000 0.2550 0.5000
0.0000 0.5819 0.0000
0.2550 0.0000 0.5000
0.4181 0.4181 0.0000
0.5819 0.0000 0.0000
0.7450 0.7450 0.5000
```

Values from the calculation:
Energy ... -3.11 eV/atom
Space group ... No. 189
Formation energy ... -0.4 kcal/mol of atoms

=====

# 7
First-principles (GGA-PBE) data for a geometry-optimized In3Au structure, as listed in Alexandria.

```
In3Au
1.0
5.4479 0.0000 0.0000
0.0000 5.4479 0.0000
0.0000 0.0000 5.4479
In Au
3 1
Direct
0.0000 0.0000 0.5000
0.0000 0.5000 0.0000
0.5000 0.0000 0.0000
0.0000 0.0000 0.0000
```

Values from the calculation:
Energy ... -2.65 eV/atom
Space group ... No. 221
Formation energy ... 5.2 kcal/mol of atoms

=====

# 8
First-principles (GGA-PBE) data for a geometry-optimized InAu3 structure, as listed in Alexandria.

```
InAu3
1.0
4.1345 -4.6650 0.0000
4.1345 4.6650 0.0000
0.0000 0.0000 4.5529
In Au
2 6
Direct
0.1054 0.8946 0.7500
0.8946 0.1054 0.2500
0.1313 0.5232 0.2500
0.4110 0.5890 0.7500
0.4768 0.8687 0.2500
0.5232 0.1313 0.7500
0.5890 0.4110 0.2500
0.8687 0.4768 0.7500
```

Values from the calculation:
Energy ... -3.15 eV/atom
Space group ... No. 63
Formation energy ... -0.1 kcal/mol of atoms